Material: TbPaAlHg
Method: DFT, PBE-GGA
State: optimized geometry

Cell and atoms, written as POSCAR:
```
TbPaAlHg
1.0
-0.9057 5.0911 -0.6004
-0.2947 2.0456 -4.7779
-4.5831 1.6272 -1.8565
Tb Pa Al Hg
1 1 1 1
Direct
0.5000 0.5000 0.5000
0.0000 0.0000 0.0000
0.7500 0.7500 0.7500
0.2500 0.2500 0.2500
```

The space group is F-43m (216). The calculation puts the total energy at -18.38 eV per cell. As for the density of states at the Fermi level: 1.554 states/eV per atom.



Material: ThPaAlHg
Method: DFT, PBE-GGA
State: optimized geometry

Cell and atoms, written as POSCAR:
```
ThPaAlHg
1.0
5.2732 0.0000 0.0000
2.6366 4.5667 0.0000
2.6366 1.5222 4.3055
Th Al Hg Pa
1 1 1 1
Direct
0.2500 0.2500 0.2500
0.0000 0.0000 0.0000
0.5000 0.5000 0.5000
0.7500 0.7500 0.7500
```

The space group is F-43m (216). The calculation puts the total energy at -20.78 eV per cell. As for the density of states at the Fermi level: 1.818 states/eV per atom.